{"formula": "LiLuFeTe", "functional": "PBE-GGA", "state": "optimized geometry", "cell": [[-4.038, 0.304, 2.638], [-3.925, 2.147, -1.828], [-3.868, -2.643, -1.189]], "species": ["Fe", "Li", "Lu", "Te"], "frac_coords": [[0.500, 0.500, 0.500], [0.750, 0.750, 0.750], [0.250, 0.250, 0.250], [0.000, 0.000, 0.000]], "total_magnetization_mub_per_atom": 0.49, "energy_ev_per_atom": -4.551, "density_g_cm3": 7.6}